[1]
Material: SrEuAgHg
Method: DFT, PBE
State: relaxed

Values from the calculation:
V	120	Å³ per cell
mass density	7596	kg/m3
formation energy from the elements	-0.39	eV/atom
total DFT energy (no corrections)	-16.69	eV/cell

abc: 5.5335 5.5335 5.5335
angles: 60.00 60.00 60.00
Each line ends with the local moment (μB).
Element x y z (fractional)
1 Eu 0.0000 0.0000 0.0000  6.88
2 Sr 0.5000 0.5000 0.5000  0.02
3 Hg 0.7500 0.7500 0.7500  0.02
4 Ag 0.2500 0.2500 0.2500  0.00


[2]
Material: Sm2Dy4HoTm2
Method: DFT, PBE
State: relaxed

Values from the calculation:
V	285	Å³ per cell
mass density	8473	kg/m3
formation energy from the elements	0.01	eV/atom
total DFT energy (no corrections)	-41.27	eV/cell

abc: 3.5809 9.4608 9.5071
angles: 115.25 90.00 100.91
Element x y z (fractional)
1 Sm 0.8518 0.7036 0.3327
2 Sm 0.1482 0.2964 0.6673
3 Dy 0.8153 0.6307 0.6679
4 Dy 0.1847 0.3693 0.3321
5 Dy 0.5184 0.0368 0.3308
6 Dy 0.4816 0.9632 0.6692
7 Ho 0.0000 0.0000 0.0000
8 Tm 0.3333 0.6666 0.9986
9 Tm 0.6667 0.3334 0.0014


[3]
Material: TaCr2Os
Method: DFT, PBE
State: relaxed

Values from the calculation:
V	58	Å³ per cell
mass density	13710	kg/m3
formation energy from the elements	0.35	eV/atom
ΔE to the lowest computed polymorph	0.3834	eV/atom
total DFT energy (no corrections)	-40.94	eV/cell

abc: 9.1800 9.1800 9.1800
angles: 16.98 16.98 16.98
Element x y z (fractional)
1 Cr 0.9945 0.9945 0.9945
2 Cr 0.5055 0.5055 0.5055
3 Os 0.2500 0.2500 0.2500
4 Ta 0.7500 0.7500 0.7500


[4]
Material: CsTcOF2
Method: DFT, PBE
State: relaxed

Values from the calculation:
V	78	Å³ per cell
mass density	6041	kg/m3
ΔE to the lowest computed polymorph	0.0000	eV/atom
total DFT energy (no corrections)	-28.55	eV/cell
ΔE_f (raw)	-1.726	eV/atom

abc: 4.5109 4.5109 3.8489
angles: 90.00 90.00 90.00
Element x y z (fractional)
1 Cs 0.5000 0.5000 0.5000
2 Tc 0.0000 0.0000 0.0000
3 O 0.0000 0.0000 0.5000
4 F 0.0000 0.5000 0.0000
5 F 0.5000 0.0000 0.0000


[5]
Material: VIrI
Method: DFT, PBE
State: relaxed

Values from the calculation:
V	123	Å³ per cell
mass density	9988	kg/m3
total DFT energy (no corrections)	-36.68	eV/cell
ΔE_f (raw)	0.396	eV/atom

abc: 3.5085 3.5626 11.3104
angles: 90.00 90.00 119.50
Each line ends with the local moment (μB).
Element x y z (fractional)
1 V 0.4842 0.9685 0.0000  0.94
2 V 0.3987 0.7974 0.5000  0.10
3 Ir 0.7301 0.4602 0.3800  0.04
4 Ir 0.7301 0.4602 0.6200  0.04
5 I 0.1617 0.3234 0.8350  -0.02
6 I 0.1617 0.3234 0.1650  -0.02


[6]
Material: Sm6PaO12
Method: DFT, PBE
State: relaxed

Values from the calculation:
V	295	Å³ per cell
mass density	7460	kg/m3
total DFT energy (no corrections)	-162.18	eV/cell
ΔE_f (raw)	-3.414	eV/atom

abc: 6.7565 6.7565 6.7565
angles: 99.23 99.23 99.23
Each line ends with the local moment (μB).
Element x y z (fractional)
1 Sm 0.1411 0.3066 0.6092  -0.01
2 Sm 0.6934 0.3908 0.8589  -0.01
3 Sm 0.3908 0.8589 0.6934  -0.01
4 Sm 0.8589 0.6934 0.3908  -0.01
5 Sm 0.3066 0.6092 0.1411  -0.01
6 Sm 0.6092 0.1411 0.3066  -0.01
7 Pa 0.0000 0.0000 0.0000  0.01
8 O 0.4350 0.1778 0.5841  0.14
9 O 0.1778 0.5841 0.4350  0.14
10 O 0.5841 0.4350 0.1778  0.14
11 O 0.5650 0.8222 0.4159  0.14
12 O 0.8222 0.4159 0.5650  0.14
13 O 0.4159 0.5650 0.8222  0.14
14 O 0.0553 0.9293 0.6884  0.02
15 O 0.3116 0.9447 0.0707  0.02
16 O 0.0707 0.3116 0.9447  0.02
17 O 0.9447 0.0707 0.3116  0.02
18 O 0.6884 0.0553 0.9293  0.02
19 O 0.9293 0.6884 0.0553  0.02


[7]
Material: Ti2OsW2
Method: DFT, PBE
State: relaxed

Values from the calculation:
V	175	Å³ per cell
mass density	12422	kg/m3
formation energy from the elements	0.32	eV/atom
ΔE to the lowest computed polymorph	0.0000	eV/atom
total DFT energy (no corrections)	-102.67	eV/cell

abc: 6.4901 6.4901 4.1490
angles: 90.00 90.00 90.00
Element x y z (fractional)
1 Os 0.0000 0.0000 0.0000
2 Os 0.5000 0.5000 0.0000
3 W 0.3588 0.8588 0.0000
4 W 0.8588 0.6412 0.0000
5 W 0.6412 0.1412 0.0000
6 W 0.1412 0.3588 0.0000
7 Ti 0.1711 0.6711 0.5000
8 Ti 0.6711 0.8289 0.5000
9 Ti 0.8289 0.3289 0.5000
10 Ti 0.3289 0.1711 0.5000


[8]
Material: HgPbAu2
Method: DFT, PBE
State: relaxed

Values from the calculation:
V	91	Å³ per cell
mass density	14682	kg/m3
formation energy from the elements	0.06	eV/atom
ΔE to the lowest computed polymorph	0.0673	eV/atom
total DFT energy (no corrections)	-10.34	eV/cell

abc: 5.0428 5.0428 5.0428
angles: 60.00 60.00 60.00
Element x y z (fractional)
1 Pb 0.5000 0.5000 0.5000
2 Au 0.2500 0.2500 0.2500
3 Au 0.7500 0.7500 0.7500
4 Hg 0.0000 0.0000 0.0000


[9]
Material: NaPr2Nd3Se6
Method: DFT, PBE
State: relaxed

Values from the calculation:
V	324	Å³ per cell
mass density	6208	kg/m3
total DFT energy (no corrections)	-67.64	eV/cell
ΔE_f (raw)	-1.796	eV/atom

abc: 7.3475 7.3475 7.3613
angles: 99.61 99.61 120.11
Element x y z (fractional)
1 Na 0.0000 0.0000 0.0000
2 Pr 0.3343 0.6657 0.0000
3 Pr 0.6657 0.3343 0.0000
4 Nd 0.1651 0.8349 0.5000
5 Nd 0.8349 0.1651 0.5000
6 Nd 0.5000 0.5000 0.5000
7 Se 0.9166 0.5873 0.7488
8 Se 0.7550 0.7550 0.2473
9 Se 0.0834 0.4127 0.2512
10 Se 0.5873 0.9166 0.7488
11 Se 0.2450 0.2450 0.7527
12 Se 0.4127 0.0834 0.2512


[10]
Material: Ac5Sn4
Method: DFT, PBE
State: relaxed

Values from the calculation:
V	317	Å³ per cell
mass density	8437	kg/m3
formation energy from the elements	-0.53	eV/atom
ΔE to the lowest computed polymorph	0.1381	eV/atom
total DFT energy (no corrections)	-41.28	eV/cell

abc: 4.3895 8.7763 8.7763
angles: 86.38 75.48 75.48
Element x y z (fractional)
1 Ac 0.0000 0.9765 0.0235
2 Ac 0.0000 0.3568 0.6432
3 Ac 0.0000 0.6667 0.3333
4 Ac 0.3098 0.3570 0.0237
5 Ac 0.6902 0.9763 0.6430
6 Sn 0.3156 0.6666 0.7020
7 Sn 0.3156 0.0353 0.3332
8 Sn 0.6844 0.6668 0.9647
9 Sn 0.6844 0.2980 0.3334


[11]
Material: Pm2AlHg
Method: DFT, PBE
State: relaxed

Values from the calculation:
V	106	Å³ per cell
mass density	8143	kg/m3
formation energy from the elements	-0.43	eV/atom
total DFT energy (no corrections)	-15.25	eV/cell

abc: 3.5896 3.5896 8.1908
angles: 90.00 90.00 90.00
Element x y z (fractional)
1 Al 0.5000 0.5000 0.0000
2 Hg 0.5000 0.5000 0.5000
3 Pm 0.0000 0.0000 0.7603
4 Pm 0.0000 0.0000 0.2397


[12]
Material: SbPdNO2
Method: DFT, PBE
State: relaxed

Values from the calculation:
V	64	Å³ per cell
mass density	7170	kg/m3
total DFT energy (no corrections)	-26.39	eV/cell
ΔE_f (raw)	0.234	eV/atom

abc: 3.8941 3.8941 4.1875
angles: 90.00 90.00 90.00
Element x y z (fractional)
1 Sb 0.0000 0.0000 0.0000
2 O 0.0000 0.5000 0.0000
3 O 0.5000 0.0000 0.0000
4 Pd 0.5000 0.5000 0.5000
5 N 0.0000 0.0000 0.5000


[13]
Material: V2CuSiIr
Method: DFT, PBE
State: relaxed

Values from the calculation:
V	84	Å³ per cell
mass density	7624	kg/m3
total DFT energy (no corrections)	-30.82	eV/cell
ΔE_f (raw)	1.159	eV/atom

abc: 4.3101 4.5222 4.3101
angles: 90.00 90.00 90.00
Each line ends with the local moment (μB).
Element x y z (fractional)
1 Si 0.5000 0.5000 0.5000  -0.04
2 Ir 0.0000 0.5000 0.0000  0.06
3 Cu 0.0000 0.0000 0.0000  0.07
4 V 0.0000 0.0000 0.5000  0.93
5 V 0.5000 0.0000 0.0000  1.16